GdLuZnRh | GGA-PBE | optimized geometry

The structure belongs to space group F-43m (No. 216); the cell edges are 6.9415, 6.9415 and 6.9415 Å and the angles 90.00°, 90.00° and 90.00°. Symmetry generates all atoms from Gd at (0.0000, 0.0000, 0.0000), Lu at (0.0000, 0.0000, 0.5000), Zn at (0.2500, 0.2500, 0.2500) and Rh at (0.2500, 0.2500, 0.7500).

The magnetization is 28.4 μB per cell. Its formation energy is -0.6086 eV/atom. The total DFT energy (no corrections) comes out at -7.415 eV per atom.